[1]
First-principles (PBE) data for an optimized crystal structure of Rb2BaBe2Se4, as listed in Alexandria.

Formation energy from raw total energies in meV/atom: -1140

Unit cell a=8.6669 b=8.6669 c=9.0582 alpha=117.46 beta=117.46 gamma=27.86
With the nearest neighbours (Å) after each atom.
Element x y z (fractional)
1 Rb 0.1235 0.1235 0.0760  6 Se 3.47-3.59, 1 Rb 3.70, 2 Be 3.75
2 Rb 0.8765 0.8765 0.9240  6 Se 3.47-3.59, 1 Rb 3.70, 2 Be 3.75
3 Ba 0.0000 0.0000 0.5000  6 Se 3.23-3.26
4 Be 0.3267 0.3267 0.5455  2 Se 2.20-2.27
5 Be 0.6733 0.6733 0.4545  2 Se 2.20-2.27
6 Se 0.2161 0.2161 0.6219  3 Be 2.27-2.48
7 Se 0.4690 0.4690 0.7394  1 Be 2.20
8 Se 0.5310 0.5310 0.2606  1 Be 2.20
9 Se 0.7839 0.7839 0.3781  3 Be 2.27-2.48

=====

[2]
First-principles (PBE) data for an optimized crystal structure of RbBaTiBe2, as listed in Alexandria.

Calculated formation energy in eV/atom: 2.02

Unit cell a=5.4993 b=5.4993 c=6.1707 alpha=90.00 beta=90.00 gamma=90.00
With the nearest neighbours (Å) after each atom.
Element x y z (fractional)
1 Rb 0.0000 0.0000 0.0000  2 Ba 3.09
2 Ba 0.0000 0.0000 0.5000  4 Be 2.75
3 Ti 0.5000 0.5000 0.0000  4 Rb 3.89, 8 Be 4.13
4 Be 0.0000 0.5000 0.5000  2 Ba 2.75
5 Be 0.5000 0.0000 0.5000  2 Ba 2.75

=====

[3]
First-principles (PBE) data for an optimized crystal structure of RbBaBe2Tl, as listed in Alexandria.

Calculated formation energy in eV/atom: 0.82

Unit cell a=4.9060 b=4.9060 c=6.2910 alpha=90.00 beta=90.00 gamma=90.00
With the nearest neighbours (Å) after each atom.
Element x y z (fractional)
1 Rb 0.0000 0.0000 0.0000  2 Tl 3.15, 4 Ba 3.47
2 Ba 0.5000 0.5000 0.0000  4 Rb 3.47
3 Be 0.0000 0.5000 0.5000  2 Tl 2.45
4 Be 0.5000 0.0000 0.5000  2 Tl 2.45
5 Tl 0.0000 0.0000 0.5000  4 Be 2.45

=====

[4]
First-principles (PBE) data for an optimized crystal structure of Rb2BaYBe, as listed in Alexandria.

Calculated formation energy in eV/atom: 0.72

Unit cell a=6.7481 b=6.7481 c=5.6450 alpha=90.00 beta=90.00 gamma=90.00
With the nearest neighbours (Å) after each atom.
Element x y z (fractional)
1 Rb 0.0000 0.5000 0.0000  2 Be 3.37
2 Rb 0.5000 0.0000 0.0000  2 Be 3.37
3 Ba 0.0000 0.0000 0.5000  8 Rb 4.40, 4 Y 4.77
4 Y 0.5000 0.5000 0.5000  2 Be 2.82
5 Be 0.5000 0.5000 0.0000  2 Y 2.82

=====

[5]
First-principles (PBE) data for an optimized crystal structure of BaBe3Re, as listed in Alexandria.

Relative energy among the computed polymorphs in eV/atom: 0.000
Calculated formation energy in eV/atom: 0.53

Unit cell a=4.5740 b=4.5740 c=4.5740 alpha=90.00 beta=90.00 gamma=90.00
With the nearest neighbours (Å) after each atom.
Element x y z (fractional)
1 Ba 0.0000 0.0000 0.0000  12 Be 3.23
2 Be 0.0000 0.5000 0.5000  2 Re 2.29
3 Be 0.5000 0.0000 0.5000  2 Re 2.29
4 Be 0.5000 0.5000 0.0000  2 Re 2.29
5 Re 0.5000 0.5000 0.5000  6 Be 2.29

=====

[6]
First-principles (PBE) data for an optimized crystal structure of Ba3BeRe, as listed in Alexandria.

Relative energy among the computed polymorphs in eV/atom: 0.000
Calculated formation energy in eV/atom: 1.08

Unit cell a=5.9332 b=5.9332 c=5.9332 alpha=90.00 beta=90.00 gamma=90.00
With the nearest neighbours (Å) after each atom.
Element x y z (fractional)
1 Ba 0.0000 0.0000 0.5000  2 Re 2.97
2 Ba 0.0000 0.5000 0.0000  2 Re 2.97
3 Ba 0.5000 0.0000 0.0000  2 Re 2.97
4 Be 0.5000 0.5000 0.5000  12 Ba 4.20
5 Re 0.0000 0.0000 0.0000  6 Ba 2.97

=====

[7]
First-principles (PBE) data for an optimized crystal structure of BaBeRe, as listed in Alexandria.

Relative energy among the computed polymorphs in eV/atom: 1.708
Calculated formation energy in eV/atom: 2.40

Unit cell a=7.1274 b=7.1274 c=7.1274 alpha=90.00 beta=90.00 gamma=90.00
With the nearest neighbours (Å) after each atom.
Element x y z (fractional)
1 Ba 0.0000 0.0000 0.0000  4 Re 3.09, 4 Be 3.09
2 Ba 0.0000 0.5000 0.5000  4 Re 3.09, 4 Be 3.09
3 Ba 0.5000 0.0000 0.5000  4 Re 3.09, 4 Be 3.09
4 Ba 0.5000 0.5000 0.0000  4 Re 3.09, 4 Be 3.09
5 Be 0.2500 0.2500 0.2500  4 Ba 3.09
6 Be 0.2500 0.7500 0.7500  4 Ba 3.09
7 Be 0.7500 0.2500 0.7500  4 Ba 3.09
8 Be 0.7500 0.7500 0.2500  4 Ba 3.09
9 Re 0.2500 0.2500 0.7500  4 Ba 3.09
10 Re 0.2500 0.7500 0.2500  4 Ba 3.09
11 Re 0.7500 0.2500 0.2500  4 Ba 3.09
12 Re 0.7500 0.7500 0.7500  4 Ba 3.09

=====

[8]
First-principles (PBE) data for an optimized crystal structure of Ba2BeRe, as listed in Alexandria.

Calculated formation energy in eV/atom: 0.74

Unit cell a=4.1295 b=4.6262 c=14.1320 alpha=90.00 beta=90.00 gamma=90.00
With the nearest neighbours (Å) after each atom.
Element x y z (fractional)
1 Ba 0.0000 0.0000 0.0000  2 Be 3.25, 4 Re 3.39
2 Ba 0.0000 0.5000 0.2502  2 Re 3.16, 4 Be 3.34
3 Ba 0.5000 0.0000 0.7502  2 Re 3.16, 4 Be 3.34
4 Ba 0.5000 0.5000 0.5000  2 Be 3.25, 4 Re 3.39
5 Be 0.0000 0.5000 0.8388  2 Re 2.25
6 Be 0.5000 0.0000 0.3388  2 Re 2.25
7 Re 0.0000 0.0000 0.4022  2 Be 2.25
8 Re 0.5000 0.5000 0.9022  2 Be 2.25

=====

[9]
First-principles (PBE) data for an optimized crystal structure of Ba2BeRe, as listed in Alexandria.

Calculated formation energy in eV/atom: 1.30

Unit cell a=4.8326 b=4.8326 c=8.9349 alpha=90.00 beta=90.00 gamma=90.00
With the nearest neighbours (Å) after each atom.
Element x y z (fractional)
1 Ba 0.0000 0.0000 0.0000  4 Ba 3.29, 4 Be 3.29, 4 Re 3.42
2 Ba 0.0000 0.5000 0.2500  4 Ba 3.29, 4 Re 3.29, 4 Be 3.42
3 Ba 0.5000 0.0000 0.7500  4 Ba 3.29, 4 Re 3.29, 4 Be 3.42
4 Ba 0.5000 0.5000 0.5000  4 Ba 3.29, 4 Be 3.29, 4 Re 3.42
5 Be 0.0000 0.5000 0.7500  8 Ba 3.29-3.42, 4 Re 3.29
6 Be 0.5000 0.0000 0.2500  8 Ba 3.29-3.42, 4 Re 3.29
7 Re 0.0000 0.0000 0.5000  8 Ba 3.29-3.42, 4 Be 3.29
8 Re 0.5000 0.5000 0.0000  8 Ba 3.29-3.42, 4 Be 3.29

=====

[10]
First-principles (PBE) data for an optimized crystal structure of BaBeRe, as listed in Alexandria.

Relative energy among the computed polymorphs in eV/atom: 0.000
Calculated formation energy in eV/atom: 0.69

Unit cell a=3.2914 b=3.2914 c=11.5133 alpha=90.00 beta=90.00 gamma=90.00
With the nearest neighbours (Å) after each atom.
Element x y z (fractional)
1 Ba 0.0000 0.0000 0.0000  1 Be 2.96, 1 Re 3.18, 4 Ba 3.29
2 Ba 0.5000 0.5000 0.5000  1 Be 2.96, 1 Re 3.18, 4 Ba 3.29
3 Be 0.0000 0.0000 0.7430  4 Re 2.36
4 Be 0.5000 0.5000 0.2430  4 Re 2.36
5 Re 0.0000 0.0000 0.2759  4 Be 2.36
6 Re 0.5000 0.5000 0.7759  4 Be 2.36

=====

[11]
First-principles (PBE) data for an optimized crystal structure of Ba2BeRe, as listed in Alexandria.

Calculated formation energy in eV/atom: 1.48

Unit cell a=3.7439 b=3.7439 c=29.2027 alpha=90.00 beta=90.00 gamma=120.00
With the nearest neighbours (Å) after each atom.
Element x y z (fractional)
1 Ba 0.0000 0.0000 0.2450  3 Re 3.15, 3 Be 3.37
2 Ba 0.0000 0.0000 0.7550  3 Re 3.15, 3 Be 3.37
3 Ba 0.3333 0.6667 0.4217  3 Re 3.15, 3 Be 3.37
4 Ba 0.3333 0.6667 0.9117  3 Re 3.15, 3 Be 3.37
5 Ba 0.6667 0.3333 0.0883  3 Re 3.15, 3 Be 3.37
6 Ba 0.6667 0.3333 0.5783  3 Re 3.15, 3 Be 3.37
7 Be 0.0000 0.0000 0.0000  6 Ba 3.37, 6 Be 3.74
8 Be 0.3333 0.6667 0.6667  6 Ba 3.37, 6 Be 3.74
9 Be 0.6667 0.3333 0.3333  6 Ba 3.37, 6 Be 3.74
10 Re 0.0000 0.0000 0.5000  6 Ba 3.15
11 Re 0.3333 0.6667 0.1667  6 Ba 3.15
12 Re 0.6667 0.3333 0.8333  6 Ba 3.15

=====

[12]
First-principles (PBE) data for an optimized crystal structure of Ba2BeRe, as listed in Alexandria.

Calculated formation energy in eV/atom: 0.55

Unit cell a=7.2461 b=4.1816 c=9.0282 alpha=90.00 beta=105.58 gamma=90.00
With the nearest neighbours (Å) after each atom.
Element x y z (fractional)
1 Ba 0.0000 0.0000 0.0000  3 Re 3.25, 3 Be 3.25
2 Ba 0.1680 0.0000 0.5007  3 Be 3.25, 3 Re 3.25
3 Ba 0.5000 0.5000 0.0000  3 Re 3.25, 3 Be 3.25
4 Ba 0.6680 0.5000 0.5007  3 Be 3.25, 3 Re 3.25
5 Be 0.2507 0.5000 0.2506  3 Re 2.41-2.42
6 Be 0.7507 0.0000 0.2506  3 Re 2.41-2.42
7 Re 0.4176 0.0000 0.2504  3 Be 2.41-2.42
8 Re 0.9176 0.5000 0.2504  3 Be 2.41-2.42

=====

[13]
First-principles (PBE) data for an optimized crystal structure of Ba2BeRe, as listed in Alexandria.

Calculated formation energy in eV/atom: 1.25

Unit cell a=3.2340 b=4.0584 c=8.5357 alpha=90.00 beta=90.06 gamma=90.00
With the nearest neighbours (Å) after each atom.
Element x y z (fractional)
1 Ba 0.0006 0.0000 0.2547  2 Ba 3.23, 4 Re 3.33-3.34, 4 Be 3.38-3.39
2 Ba 0.9994 0.0000 0.7453  2 Ba 3.23, 4 Re 3.33-3.34, 4 Be 3.38-3.39
3 Be 0.5000 0.5000 0.0000  2 Be 3.23, 8 Ba 3.38-3.39
4 Re 0.5000 0.5000 0.5000  2 Re 3.23, 8 Ba 3.33-3.34

=====

[14]
First-principles (PBE) data for an optimized crystal structure of BaBeRe, as listed in Alexandria.

Relative energy among the computed polymorphs in eV/atom: 0.954
Calculated formation energy in eV/atom: 1.65

Unit cell a=6.5652 b=6.5652 c=6.5652 alpha=90.00 beta=90.00 gamma=90.00
With the nearest neighbours (Å) after each atom.
Element x y z (fractional)
1 Ba 0.0000 0.0000 0.0000  4 Re 2.84
2 Ba 0.0000 0.5000 0.5000  4 Re 2.84
3 Ba 0.5000 0.0000 0.5000  4 Re 2.84
4 Ba 0.5000 0.5000 0.0000  4 Re 2.84
5 Be 0.0000 0.0000 0.5000  4 Re 2.84
6 Be 0.0000 0.5000 0.0000  4 Re 2.84
7 Be 0.5000 0.0000 0.0000  4 Re 2.84
8 Be 0.5000 0.5000 0.5000  4 Re 2.84
9 Re 0.2500 0.2500 0.7500  4 Ba 2.84, 4 Be 2.84
10 Re 0.2500 0.7500 0.2500  4 Ba 2.84, 4 Be 2.84
11 Re 0.7500 0.2500 0.2500  4 Ba 2.84, 4 Be 2.84
12 Re 0.7500 0.7500 0.7500  4 Ba 2.84, 4 Be 2.84

=====

[15]
First-principles (PBE) data for an optimized crystal structure of BaBe3Re, as listed in Alexandria.

Relative energy among the computed polymorphs in eV/atom: 2.573
Calculated formation energy in eV/atom: 3.10

Unit cell a=4.5868 b=4.5868 c=4.5868 alpha=90.00 beta=90.00 gamma=90.00
With the nearest neighbours (Å) after each atom.
Element x y z (fractional)
1 Ba 0.0000 0.0000 0.0000  6 Be 2.29
2 Be 0.0000 0.0000 0.5000  2 Ba 2.29
3 Be 0.0000 0.5000 0.0000  2 Ba 2.29
4 Be 0.5000 0.0000 0.0000  2 Ba 2.29
5 Re 0.5000 0.5000 0.5000  12 Be 3.24

=====

[16]
First-principles (PBE) data for an optimized crystal structure of Ba2BeRe, as listed in Alexandria.

Calculated formation energy in eV/atom: 1.42

Unit cell a=8.9280 b=3.1266 c=8.4023 alpha=90.00 beta=94.91 gamma=90.00
With the nearest neighbours (Å) after each atom.
Element x y z (fractional)
1 Ba 0.2486 0.0000 0.2605  3 Re 3.12-3.28, 2 Ba 3.13, 3 Be 3.27-3.37
2 Ba 0.2514 0.5000 0.7395  3 Re 3.12-3.28, 2 Ba 3.13, 3 Be 3.27-3.37
3 Ba 0.7486 0.5000 0.2605  3 Re 3.12-3.28, 2 Ba 3.13, 3 Be 3.27-3.37
4 Ba 0.7514 0.0000 0.7395  3 Re 3.12-3.28, 2 Ba 3.13, 3 Be 3.27-3.37
5 Be 0.0000 0.5000 0.0000  2 Be 3.13, 6 Ba 3.27-3.37
6 Be 0.5000 0.0000 0.0000  2 Be 3.13, 6 Ba 3.27-3.37
7 Re 0.0000 0.0000 0.5000  6 Ba 3.12-3.28, 2 Re 3.13
8 Re 0.5000 0.5000 0.5000  6 Ba 3.12-3.28, 2 Re 3.13

=====

[17]
First-principles (PBE) data for an optimized crystal structure of BaBeRe, as listed in Alexandria.

Relative energy among the computed polymorphs in eV/atom: 0.283
Calculated formation energy in eV/atom: 0.98

Unit cell a=4.0437 b=4.0437 c=5.0156 alpha=90.00 beta=90.00 gamma=120.00
With the nearest neighbours (Å) after each atom.
Element x y z (fractional)
1 Ba 0.0000 0.0000 0.0000  6 Be 3.41-3.45, 6 Re 3.42-3.44
2 Be 0.3333 0.6667 0.5054  3 Re 2.33
3 Re 0.6667 0.3333 0.4973  3 Be 2.33

=====

[18]
First-principles (PBE) data for an optimized crystal structure of BaBeRe, as listed in Alexandria.

Relative energy among the computed polymorphs in eV/atom: 0.887
Calculated formation energy in eV/atom: 1.58

Unit cell a=6.5188 b=6.5188 c=6.5188 alpha=90.00 beta=90.00 gamma=90.00
With the nearest neighbours (Å) after each atom.
Element x y z (fractional)
1 Ba 0.0000 0.0000 0.0000  4 Be 2.82
2 Ba 0.0000 0.5000 0.5000  4 Be 2.82
3 Ba 0.5000 0.0000 0.5000  4 Be 2.82
4 Ba 0.5000 0.5000 0.0000  4 Be 2.82
5 Be 0.2500 0.2500 0.2500  4 Ba 2.82, 4 Re 2.82
6 Be 0.2500 0.7500 0.7500  4 Ba 2.82, 4 Re 2.82
7 Be 0.7500 0.2500 0.7500  4 Ba 2.82, 4 Re 2.82
8 Be 0.7500 0.7500 0.2500  4 Ba 2.82, 4 Re 2.82
9 Re 0.0000 0.0000 0.5000  4 Be 2.82
10 Re 0.0000 0.5000 0.0000  4 Be 2.82
11 Re 0.5000 0.0000 0.0000  4 Be 2.82
12 Re 0.5000 0.5000 0.5000  4 Be 2.82

=====

[19]
First-principles (PBE) data for an optimized crystal structure of Ba2BeRe, as listed in Alexandria.

Calculated formation energy in eV/atom: 0.60

Unit cell a=3.4222 b=3.4222 c=9.4958 alpha=90.00 beta=90.00 gamma=90.00
With the nearest neighbours (Å) after each atom.
Element x y z (fractional)
1 Ba 0.0000 0.0000 0.0000  1 Be 2.89
2 Ba 0.5000 0.5000 0.4400  1 Re 2.89
3 Be 0.0000 0.0000 0.6957  4 Re 2.46
4 Re 0.5000 0.5000 0.7440  4 Be 2.46

=====

[20]
First-principles (PBE) data for an optimized crystal structure of Ba2BeRe, as listed in Alexandria.

Calculated formation energy in eV/atom: 0.70

Unit cell a=4.2616 b=4.8650 c=11.6633 alpha=90.00 beta=90.00 gamma=90.00
With the nearest neighbours (Å) after each atom.
Element x y z (fractional)
1 Ba 0.0000 0.0000 0.0000  2 Be 3.23, 4 Re 3.48
2 Ba 0.0000 0.5000 0.5000  2 Be 3.23, 4 Re 3.48
3 Ba 0.5000 0.0000 0.2831  2 Re 3.15, 4 Be 3.44
4 Ba 0.5000 0.5000 0.7831  2 Re 3.15, 4 Be 3.44
5 Be 0.0000 0.0000 0.6820  2 Re 2.29
6 Be 0.0000 0.5000 0.1820  2 Re 2.29
7 Re 0.5000 0.0000 0.6110  2 Be 2.29
8 Re 0.5000 0.5000 0.1110  2 Be 2.29

=====

| no. | total magnetic moment (μB/cell) |
| --- | --- |
| 1 | 0.00 |
| 2 | 2.13 |
| 3 | 0.00 |
| 4 | 0.00 |
| 5 | 0.00 |
| 6 | 0.00 |
| 7 | 11.96 |
| 8 | 0.95 |
| 9 | 1.18 |
| 10 | 0.00 |
| 11 | 0.00 |
| 12 | 0.99 |
| 13 | 0.00 |
| 14 | 4.08 |
| 15 | 0.41 |
| 16 | 0.74 |
| 17 | 1.46 |
| 18 | 5.80 |
| 19 | 0.01 |
| 20 | 1.16 |